Here is a relaxed structure of SrBePb2 from Alexandria via LeMat-Bulk. Energies are from PBE.

Lattice parameters (Å, degrees): 5.968 5.968 5.968 133.01 133.01 68.64
Fractional coordinates of all 4 atoms:
1 Sr 0.000 0.000 0.000
2 Be 0.250 0.750 0.500
3 Pb 0.500 0.500 0.000
4 Pb 0.750 0.250 0.500

Properties
energy of formation from the pure elements: 78 kJ/mol of formula units



Here is a relaxed structure of UGaSi2 from Alexandria via LeMat-Bulk. Energies are from PBE.

Lattice parameters (Å, degrees): 4.174 4.174 3.946 90.00 90.00 90.00
Fractional coordinates of all 4 atoms:
1 U 0.000 0.000 0.000
2 Ga 0.500 0.500 0.000
3 Si 0.000 0.500 0.500
4 Si 0.500 0.000 0.500

Properties
energy above the lowest structure with this stoichiometry: 0.000 eV per atom
formation energy (no corrections): -0.327 eV per atom



Here is a relaxed structure of BaRuPt4 from Alexandria via LeMat-Bulk. Energies are from PBE.

Lattice parameters (Å, degrees): 5.484 5.484 5.484 60.00 60.00 60.00
Fractional coordinates of all 6 atoms:
1 Ba 0.000 0.000 0.000
2 Ru 0.250 0.250 0.250
3 Pt 0.127 0.624 0.624
4 Pt 0.624 0.127 0.624
5 Pt 0.624 0.624 0.127
6 Pt 0.624 0.624 0.624

Properties
energy of formation from the pure elements: 42 kJ/mol of formula units



Here is a relaxed structure of Sm4YSc3Se8 from Alexandria via LeMat-Bulk. Energies are from PBE.

Lattice parameters (Å, degrees): 8.167 8.167 8.167 59.07 59.07 59.07
Fractional coordinates of all 16 atoms:
1 Sm 0.000 0.000 0.000
2 Sm 0.000 0.500 0.500
3 Sm 0.500 0.000 0.500
4 Sm 0.500 0.500 0.000
5 Y 0.500 0.500 0.500
6 Sc 0.000 0.000 0.500
7 Sc 0.000 0.500 0.000
8 Sc 0.500 0.000 0.000
9 Se 0.236 0.747 0.747
10 Se 0.242 0.242 0.242
11 Se 0.253 0.253 0.764
12 Se 0.253 0.764 0.253
13 Se 0.747 0.236 0.747
14 Se 0.747 0.747 0.236
15 Se 0.758 0.758 0.758
16 Se 0.764 0.253 0.253

Properties
formation energy (no corrections): -1.710 eV per atom



Here is a relaxed structure of HoAlCd from Alexandria via LeMat-Bulk. Energies are from PBE.

Lattice parameters (Å, degrees): 5.903 5.903 7.165 127.21 127.21 46.59
Fractional coordinates of all 6 atoms:
1 Ho 0.025 0.025 0.275
2 Ho 0.975 0.975 0.725
3 Al 0.341 0.341 0.320
4 Al 0.659 0.659 0.680
5 Cd 0.329 0.329 0.871
6 Cd 0.671 0.671 0.129

Properties
energy of formation from the pure elements: -107 kJ/mol of formula units



Here is a relaxed structure of LaMg2 from Alexandria via LeMat-Bulk. Energies are from PBE.

Lattice parameters (Å, degrees): 5.832 5.832 5.832 147.17 127.31 63.49
Fractional coordinates of all 3 atoms:
1 La 0.000 0.000 0.000
2 Mg 0.335 0.335 0.000
3 Mg 0.665 0.665 0.000

Properties
energy of formation from the pure elements: -5 kJ/mol of formula units



| no. | E_tot (eV per atom) | V (Å³ per cell) |
| --- | --- | --- |
| 1 | -3.0031 | 111.6 |
| 2 | -6.6172 | 68.8 |
| 3 | -5.8208 | 116.6 |
| 4 | -6.2232 | 377.1 |
| 5 | -3.4479 | 136.5 |
| 6 | -2.7227 | 84.6 |